(1)
# Ba5GaAs6

A relaxed structure of Ba5GaAs6 (PBE, Alexandria).

Unit cell a=9.4167 b=9.4167 c=6.2264 alpha=99.59 beta=99.59 gamma=127.09
Closest atoms and distances in Å follow each position.
Sites, in units of the cell vectors:
Ba  0.0000  0.0000  0.0000  8 As 3.40-3.79
Ba  0.1819  0.8181  0.5000  8 As 3.42-3.56
Ba  0.3829  0.6171  0.0000  6 As 3.28-3.38
Ba  0.6171  0.3829  0.0000  6 As 3.28-3.38
Ba  0.8181  0.1819  0.5000  8 As 3.42-3.56
Ga  0.5000  0.5000  0.5000  2 As 2.49
As  0.0206  0.6126  0.9039  1 As 2.47
As  0.2304  0.2304  0.5805  1 Ga 2.49
As  0.3874  0.9794  0.0961  1 As 2.47
As  0.6126  0.0206  0.9039  1 As 2.47
As  0.7696  0.7696  0.4195  1 Ga 2.49
As  0.9794  0.3874  0.0961  1 As 2.47

Summary:
size of the total moment: 0.00 Bohr magnetons per cell
V: 34.04 Å³ per atom
ΔE_f: -944 kJ/mol of formula units



(2)
# Ba2GaAs

A relaxed structure of Ba2GaAs (PBE, Alexandria).

Unit cell a=7.4467 b=7.4467 c=7.4467 alpha=105.78 beta=105.78 gamma=117.14
Closest atoms and distances in Å follow each position.
Sites, in units of the cell vectors:
Ba  0.0967  0.6250  0.9717  2 As 3.16, 2 Ga 3.50
Ba  0.3750  0.3467  0.4717  2 As 3.16, 2 Ga 3.50
Ba  0.6533  0.1250  0.0283  2 As 3.16, 2 Ga 3.50
Ba  0.8750  0.9033  0.5283  2 As 3.16, 2 Ga 3.50
Ga  0.2500  0.7500  0.5000  4 Ba 3.50, 2 As 3.88
Ga  0.5000  0.5000  0.0000  4 Ba 3.50, 2 As 3.88
As  0.0000  0.0000  0.0000  4 Ba 3.16
As  0.7500  0.2500  0.5000  4 Ba 3.16

Summary:
size of the total moment: 0.00 Bohr magnetons per cell
excess energy over the best structure of this formula in the dataset: 167.3 meV per atom
V: 39.20 Å³ per atom
ΔE_f: -142 kJ/mol of formula units



(3)
# BaGaAs

A relaxed structure of BaGaAs (PBE, Alexandria).

Unit cell a=6.4691 b=6.4691 c=8.8765 alpha=126.91 beta=126.91 gamma=37.38
Closest atoms and distances in Å follow each position.
Sites, in units of the cell vectors:
Ba  0.0000  0.0000  0.0000  4 As 3.37-3.38, 5 Ga 3.41-3.49
Ba  0.0645  0.0645  0.6123  5 As 3.29-3.52, 2 Ga 3.40-3.61
Ga  0.7140  0.7140  0.3890  3 As 2.59-2.71
Ga  0.7661  0.7661  0.0991  2 As 2.66
As  0.3332  0.3332  0.6134  2 Ga 2.59
As  0.4419  0.4419  0.2438  3 Ga 2.66-2.71

Summary:
size of the total moment: 0.00 Bohr magnetons per cell
excess energy over the best structure of this formula in the dataset: 38.6 meV per atom
V: 29.07 Å³ per atom
ΔE_f: -210 kJ/mol of formula units



(4)
# BaGaAs

A relaxed structure of BaGaAs (PBE, Alexandria).

Unit cell a=6.4014 b=6.4014 c=6.9249 alpha=106.79 beta=106.79 gamma=41.39
Closest atoms and distances in Å follow each position.
Sites, in units of the cell vectors:
Ba  0.0000  0.0000  0.0000  5 As 3.36-3.65, 4 Ga 3.45-3.71
Ba  0.6556  0.6556  0.5692  5 As 3.38-3.64, 4 Ga 3.49-3.62
Ga  0.3043  0.3043  0.3538  3 As 2.69-2.85, 2 Ga 2.78
Ga  0.7288  0.7288  0.1163  3 As 2.77, 2 Ga 2.78
As  0.2842  0.2842  0.9328  3 Ga 2.77-2.85
As  0.9306  0.9306  0.4483  3 Ga 2.69-2.77

Summary:
size of the total moment: 0.00 Bohr magnetons per cell
excess energy over the best structure of this formula in the dataset: 30.0 meV per atom
V: 29.74 Å³ per atom
ΔE_f: -213 kJ/mol of formula units



(5)
# BaGaAs

A relaxed structure of BaGaAs (PBE, Alexandria).

Unit cell a=4.2488 b=6.5566 c=7.1163 alpha=92.39 beta=90.42 gamma=108.90
Closest atoms and distances in Å follow each position.
Sites, in units of the cell vectors:
Ba  0.1418  0.2887  0.2370  5 As 3.36-3.76, 3 Ga 3.40-3.51
Ba  0.8582  0.7113  0.7630  5 As 3.36-3.76, 3 Ga 3.40-3.51
Ga  0.4125  0.8283  0.4094  1 Ga 2.44, 2 As 2.53
Ga  0.5875  0.1717  0.5906  1 Ga 2.44, 2 As 2.53
As  0.1440  0.2803  0.7645  2 Ga 2.53
As  0.8560  0.7197  0.2355  2 Ga 2.53

Summary:
size of the total moment: 0.00 Bohr magnetons per cell
excess energy over the best structure of this formula in the dataset: 22.4 meV per atom
V: 31.22 Å³ per atom
ΔE_f: -215 kJ/mol of formula units



(6)
# Ba2GaAs

A relaxed structure of Ba2GaAs (PBE, Alexandria).

Unit cell a=5.7395 b=5.7395 c=5.7395 alpha=60.00 beta=60.00 gamma=60.00
Closest atoms and distances in Å follow each position.
Sites, in units of the cell vectors:
Ba  0.2500  0.2500  0.2500  4 As 3.51, 4 Ga 3.51
Ba  0.7500  0.7500  0.7500  4 As 3.51, 4 Ga 3.51
Ga  0.0000  0.0000  0.0000  8 Ba 3.51
As  0.5000  0.5000  0.5000  8 Ba 3.51

Summary:
size of the total moment: 0.00 Bohr magnetons per cell
excess energy over the best structure of this formula in the dataset: 0.0 meV per atom
V: 33.42 Å³ per atom
ΔE_f: -207 kJ/mol of formula units



(7)
# Ba7Ga4As9

A relaxed structure of Ba7Ga4As9 (PBE, Alexandria).

Unit cell a=10.2920 b=17.3382 c=6.8781 alpha=90.00 beta=90.00 gamma=90.00
Closest atoms and distances in Å follow each position.
Sites, in units of the cell vectors:
Ba  0.0271  0.1250  0.0540  7 As 3.31-3.65, 1 Ga 3.47
Ba  0.0271  0.3750  0.0540  7 As 3.31-3.65, 1 Ga 3.47
Ba  0.2500  0.0323  0.5492  6 As 3.33-3.71, 1 Ga 3.50
Ba  0.2500  0.4677  0.5492  6 As 3.33-3.71, 1 Ga 3.50
Ba  0.2500  0.7500  0.5895  5 As 3.12-3.27, 2 Ga 3.26
Ba  0.4729  0.1250  0.0540  7 As 3.31-3.65, 1 Ga 3.47
Ba  0.4729  0.3750  0.0540  7 As 3.31-3.65, 1 Ga 3.47
Ba  0.5271  0.6250  0.9460  7 As 3.31-3.65, 1 Ga 3.47
Ba  0.5271  0.8750  0.9460  7 As 3.31-3.65, 1 Ga 3.47
Ba  0.7500  0.2500  0.4105  5 As 3.12-3.27, 2 Ga 3.26
Ba  0.7500  0.5323  0.4508  6 As 3.33-3.71, 1 Ga 3.50
Ba  0.7500  0.9677  0.4508  6 As 3.33-3.71, 1 Ga 3.50
Ba  0.9729  0.6250  0.9460  7 As 3.31-3.65, 1 Ga 3.47
Ba  0.9729  0.8750  0.9460  7 As 3.31-3.65, 1 Ga 3.47
Ga  0.0741  0.2500  0.5697  4 As 2.52-2.59
Ga  0.2500  0.6259  0.2332  4 As 2.46-2.59
Ga  0.2500  0.8741  0.2332  4 As 2.46-2.59
Ga  0.4259  0.2500  0.5697  4 As 2.52-2.59
Ga  0.5741  0.7500  0.4303  4 As 2.52-2.59
Ga  0.7500  0.1259  0.7668  4 As 2.46-2.59
Ga  0.7500  0.3741  0.7668  4 As 2.46-2.59
Ga  0.9259  0.7500  0.4303  4 As 2.52-2.59
As  0.0400  0.6214  0.4409  2 Ga 2.52-2.59
As  0.0400  0.8786  0.4409  2 Ga 2.52-2.59
As  0.2500  0.2500  0.3006  2 Ga 2.59
As  0.2500  0.2500  0.8394  2 Ga 2.59
As  0.2500  0.5118  0.0209  1 Ga 2.46
As  0.2500  0.7500  0.0435  2 Ga 2.52
As  0.2500  0.9882  0.0209  1 Ga 2.46
As  0.4600  0.6214  0.4409  2 Ga 2.52-2.59
As  0.4600  0.8786  0.4409  2 Ga 2.52-2.59
As  0.5400  0.1214  0.5591  2 Ga 2.52-2.59
As  0.5400  0.3786  0.5591  2 Ga 2.52-2.59
As  0.7500  0.0118  0.9791  1 Ga 2.46
As  0.7500  0.2500  0.9565  2 Ga 2.52
As  0.7500  0.4882  0.9791  1 Ga 2.46
As  0.7500  0.7500  0.1606  2 Ga 2.59
As  0.7500  0.7500  0.6994  2 Ga 2.59
As  0.9600  0.1214  0.5591  2 Ga 2.52-2.59
As  0.9600  0.3786  0.5591  2 Ga 2.52-2.59

Summary:
size of the total moment: 0.00 Bohr magnetons per cell
V: 30.68 Å³ per atom
ΔE_f: -1742 kJ/mol of formula units



(8)
# Ba2Ga2As

A relaxed structure of Ba2Ga2As (PBE, Alexandria).

Unit cell a=7.6994 b=7.6994 c=5.1460 alpha=90.00 beta=90.00 gamma=90.00
Closest atoms and distances in Å follow each position.
Sites, in units of the cell vectors:
Ba  0.1815  0.3185  0.0000  6 Ga 3.34-3.51
Ba  0.3185  0.8185  0.0000  6 Ga 3.34-3.51
Ba  0.6815  0.1815  0.0000  6 Ga 3.34-3.51
Ba  0.8185  0.6815  0.0000  6 Ga 3.34-3.51
Ga  0.1228  0.6228  0.5000  1 Ga 2.67
Ga  0.3772  0.1228  0.5000  1 Ga 2.67
Ga  0.6228  0.8772  0.5000  1 Ga 2.67
Ga  0.8772  0.3772  0.5000  1 Ga 2.67
As  0.0000  0.0000  0.5000  4 Ga 3.05
As  0.5000  0.5000  0.5000  4 Ga 3.05

Summary:
size of the total moment: 0.00 Bohr magnetons per cell
V: 30.51 Å³ per atom
ΔE_f: -199 kJ/mol of formula units



(9)
# BaGaAs

A relaxed structure of BaGaAs (PBE, Alexandria).

Unit cell a=11.2196 b=11.2196 c=11.2196 alpha=22.31 beta=22.31 gamma=22.31
Closest atoms and distances in Å follow each position.
Sites, in units of the cell vectors:
Ba  0.0000  0.0000  0.0000  6 As 3.30-3.36
Ba  0.1623  0.1623  0.1623  6 Ga 3.30-3.48, 1 As 3.47
Ga  0.4300  0.4300  0.4300  3 As 2.68
Ga  0.5690  0.5690  0.5690  3 As 2.72
As  0.2680  0.2680  0.2680  3 Ga 2.72
As  0.7347  0.7347  0.7347  3 Ga 2.68

Summary:
size of the total moment: 0.00 Bohr magnetons per cell
excess energy over the best structure of this formula in the dataset: 51.1 meV per atom
V: 29.75 Å³ per atom
ΔE_f: -207 kJ/mol of formula units



(10)
# Ba3Ga2As4

A relaxed structure of Ba3Ga2As4 (PBE, Alexandria).

Unit cell a=7.8173 b=7.8173 c=9.8963 alpha=121.56 beta=121.56 gamma=32.71
Closest atoms and distances in Å follow each position.
Sites, in units of the cell vectors:
Ba  0.0000  0.0000  0.0000  6 As 3.24-3.46
Ba  0.3704  0.3704  0.2693  3 As 3.22-3.24
Ba  0.6296  0.6296  0.7307  3 As 3.22-3.24
Ga  0.3121  0.3121  0.6528  4 As 2.45-2.70
Ga  0.6879  0.6879  0.3472  4 As 2.45-2.70
As  0.1139  0.1139  0.4120  3 Ga 2.61-2.70
As  0.3157  0.3157  0.9037  1 Ga 2.45
As  0.6843  0.6843  0.0963  1 Ga 2.45
As  0.8861  0.8861  0.5880  3 Ga 2.61-2.70

Summary:
size of the total moment: 0.00 Bohr magnetons per cell
excess energy over the best structure of this formula in the dataset: 0.0 meV per atom
V: 30.44 Å³ per atom
ΔE_f: -716 kJ/mol of formula units



Number 1: E_tot -0.3082 Ry per atom. Number 2: E_tot -0.2388 Ry per atom. Number 3: E_tot -0.2886 Ry per atom. Number 4: E_tot -0.2892 Ry per atom. Number 5: E_tot -0.2898 Ry per atom. Number 6: E_tot -0.2511 Ry per atom. Number 7: E_tot -0.3141 Ry per atom. Number 8: E_tot -0.2441 Ry per atom. Number 9: E_tot -0.2877 Ry per atom. Number 10: E_tot -0.3090 Ry per atom.